Compound: TlCdIn
Source: Alexandria via LeMat-Bulk
Functional: PBE-GGA
Structure: optimized geometry Values from VASP.

- formation energy from the elements (eV per atom) = 0.04
- E (eV/cell) = -35.47
- symmetry = P2_1/m, No. 11
- V (Å³/f.u.) = 84

Quantum ESPRESSO input file:
```
&SYSTEM
  ibrav = 0, nat = 18, ntyp = 3
/
ATOMIC_SPECIES
Tl 204.38 Tl.upf
Cd 112.41 Cd.upf
In 114.82 In.upf
ATOMIC_POSITIONS crystal
Tl 0.750 0.528 0.378
Tl 0.250 0.982 0.716
Tl 0.750 0.018 0.284
Tl 0.750 0.637 0.080
Tl 0.250 0.472 0.622
Tl 0.250 0.363 0.920
Cd 0.250 0.751 0.914
Cd 0.750 0.259 0.756
Cd 0.750 0.753 0.587
Cd 0.750 0.249 0.086
Cd 0.250 0.247 0.413
Cd 0.250 0.741 0.244
In 0.250 0.006 0.089
In 0.250 0.868 0.464
In 0.750 0.622 0.797
In 0.750 0.132 0.536
In 0.250 0.378 0.203
In 0.750 0.994 0.911
CELL_PARAMETERS angstrom
4.710 0.000 0.000
0.000 8.236 -0.174
0.000 -0.282 13.022
```